NaRe3Pt: relaxed, PBE.

Lattice parameters (Å, degrees): 4.832 4.832 4.832 90.00 90.00 90.00
Site moments in Bohr magnetons follow the coordinates.
Fractional positions:
Re: 0.000 0.500 0.000  0.61
Re: 0.000 0.000 0.500  0.51
Re: 0.500 0.000 0.000  0.61
Pt: 0.000 0.000 0.000  -0.01
Na: 0.500 0.500 0.500  -0.01

Magnetic moment = 1.9 μB per formula unit
DFT formation energy = 2.3473 eV per atom
ΔE to the lowest computed polymorph = 0.0 meV/atom

NaRePt: relaxed, PBE.

Lattice parameters (Å, degrees): 10.327 4.168 2.735 90.00 82.58 113.81
Fractional positions:
Re: 0.288 0.245 0.674
Re: 0.398 0.855 0.123
Pt: 0.118 0.575 0.760
Pt: 0.565 0.522 0.540
Na: 0.954 0.911 0.339
Na: 0.738 0.195 0.954

Magnetic moment = 0.0 μB per formula unit
DFT formation energy = 0.1815 eV per atom
ΔE to the lowest computed polymorph = 210.6 meV/atom

NaRePt: relaxed, PBE.

Lattice parameters (Å, degrees): 4.196 4.196 4.549 90.00 90.00 120.00
Site moments in Bohr magnetons follow the coordinates.
Fractional positions:
Na: 0.667 0.333 0.500  0.00
Re: 0.000 0.000 0.000  0.44
Pt: 0.333 0.667 0.000  0.02

Magnetic moment = 0.6 μB per formula unit
DFT formation energy = 0.8599 eV per atom
ΔE to the lowest computed polymorph = 889.0 meV/atom